Record 1
Here is an optimized crystal structure of Sr2LiMg3Cd12 from Alexandria. Energies are from PBE.

Calculated values
Its theoretical density is 5.471 g/cm3. The formation enthalpy at 0 K is -60.7 meV per atom.

a b c (Å): 6.7186 6.7186 37.3610
angles (deg): 90.00 90.00 120.00
Space group R-3m (No. 166, hexagonal axes)
Inequivalent atoms, fractional coordinates:
Sr 0.0000 0.0000 0.1413
Li 0.0000 0.0000 0.5000
Mg 0.0000 0.5000 0.0000
Cd 0.0117 0.5059 0.1109
Cd 0.0375 0.5188 0.6115

=====

Record 2
Here is an optimized crystal structure of SrLi4Mg2Cd from Alexandria. Energies are from PBE.

Calculated values
Its theoretical density is 2.360 g/cm3. The formation enthalpy at 0 K is -62.3 meV per atom.

a b c (Å): 4.8619 4.8619 28.5008
angles (deg): 90.00 90.00 120.00
Space group R-3m (No. 166, hexagonal axes)
Inequivalent atoms, fractional coordinates:
Sr 0.0000 0.0000 0.0000
Li 0.0000 0.0000 0.1326
Li 0.0000 0.0000 0.4047
Mg 0.0000 0.0000 0.2357
Cd 0.0000 0.0000 0.5000

=====

Record 3
Here is an optimized crystal structure of Sr2Li3MgCd4 from Alexandria. Energies are from PBE.

Calculated values
Its theoretical density is 4.222 g/cm3. The formation enthalpy at 0 K is -206.2 meV per atom.

a b c (Å): 4.6949 4.6949 11.9551
angles (deg): 90.00 90.00 90.00
Space group P-4m2 (No. 115)
Inequivalent atoms, fractional coordinates:
Sr 0.0000 0.5000 0.2444
Li 0.0000 0.5000 0.8744
Li 0.5000 0.5000 0.5000
Mg 0.0000 0.0000 0.5000
Cd 0.0000 0.0000 0.0000
Cd 0.0000 0.5000 0.6447
Cd 0.5000 0.5000 0.0000

=====

Record 4
Here is an optimized crystal structure of SrLiMg2Cd4 from Alexandria. Energies are from PBE.

Calculated values
Its theoretical density is 5.047 g/cm3. The formation enthalpy at 0 K is -200.7 meV per atom.

a b c (Å): 4.9418 4.9418 27.6658
angles (deg): 90.00 90.00 120.00
Space group R-3m (No. 166, hexagonal axes)
Inequivalent atoms, fractional coordinates:
Sr 0.0000 0.0000 0.0000
Li 0.0000 0.0000 0.5000
Mg 0.0000 0.0000 0.2412
Cd 0.0000 0.0000 0.1314
Cd 0.0000 0.0000 0.3978

=====

Record 5
Here is an optimized crystal structure of Sr2Li2Mg5Cd from Alexandria. Energies are from PBE.

Calculated values
Its theoretical density is 2.569 g/cm3. The formation enthalpy at 0 K is -40.6 meV per atom.

a b c (Å): 11.5091 11.5091 4.1292
angles (deg): 90.00 90.00 90.00
Space group P4/mbm (No. 127)
Inequivalent atoms, fractional coordinates:
Sr 0.1810 0.3190 0.0000
Li 0.1179 0.6179 0.0000
Mg 0.0000 0.5000 0.5000
Mg 0.0516 0.8034 0.5000
Cd 0.0000 0.0000 0.0000

=====

Record 6
Here is an optimized crystal structure of SrLiMgCd3 from Alexandria. Energies are from PBE.

Calculated values
Its theoretical density is 4.950 g/cm3. The formation enthalpy at 0 K is -150.9 meV per atom.

a b c (Å): 6.6277 13.9248 6.6319
angles (deg): 90.00 90.00 90.00
Space group Cmcm (No. 63)
Inequivalent atoms, fractional coordinates:
Sr 0.0000 0.2050 0.2500
Li 0.0000 0.4251 0.2500
Mg 0.0000 0.1478 0.7500
Cd 0.0000 0.3615 0.7500
Cd 0.2207 0.0000 0.0000

=====

Record 7
Here is an optimized crystal structure of SrLi2MgCd from Alexandria. Energies are from PBE.

Calculated values
Its theoretical density is 2.883 g/cm3. The excess energy over the best structure of this formula in the dataset comes out at 0.00 eV/f.u. The formation enthalpy at 0 K is -105.6 meV per atom.

a b c (Å): 4.3352 4.8762 12.9823
angles (deg): 90.00 90.00 90.00
Space group Imm2 (No. 44)
Inequivalent atoms, fractional coordinates:
Sr 0.0000 0.0000 0.0000
Li 0.0000 0.0000 0.6149
Li 0.0000 0.5000 0.2677
Mg 0.0000 0.5000 0.7478
Cd 0.0000 0.0000 0.3998

=====

Record 8
Here is an optimized crystal structure of SrLi2MgCd4 from Alexandria. Energies are from PBE.

Calculated values
Its theoretical density is 4.896 g/cm3. The formation enthalpy at 0 K is -204.4 meV per atom.

a b c (Å): 4.8424 4.8424 28.8329
angles (deg): 90.00 90.00 120.00
Space group R-3m (No. 166, hexagonal axes)
Inequivalent atoms, fractional coordinates:
Sr 0.0000 0.0000 0.0000
Li 0.0000 0.0000 0.2330
Mg 0.0000 0.0000 0.5000
Cd 0.0000 0.0000 0.1255
Cd 0.0000 0.0000 0.4010

=====

What is the formula in the seventh record? SrLi2MgCd